! AlCd3Rh | Alexandria via LeMat-Bulk | meta-GGA SCAN | single point on PBEsol structure; values from VASP
&SYSTEM
  ibrav = 0, nat = 5, ntyp = 3
/
ATOMIC_SPECIES
Al 26.98 Al.upf
Cd 112.41 Cd.upf
Rh 102.91 Rh.upf
ATOMIC_POSITIONS crystal
Al 0.000 0.000 0.000
Cd 0.000 0.000 0.500
Cd 0.000 0.500 0.000
Cd 0.500 0.000 0.000
Rh 0.500 0.500 0.500
CELL_PARAMETERS angstrom
4.851 0.000 0.000
0.000 4.851 0.000
0.000 0.000 4.851
! Formation energy from the elements, eV/atom: 0.92
! Magnetization, μB/f.u.: 0.8
! E_tot, eV/cell: -128.16